Zr4SiBiN2 | OQMD | GGA-PBE | relaxed; SG = P-6m2, No. 187; electronic total energy = -8.553 eV/atom; ρ = 7.7 Mg/m³
1.0
3.3594 0.0000 0.0000
-1.6797 2.9093 0.0000
0.0000 0.0000 13.8345
Zr Si Bi N
4 1 1 2
Cartesian
0.0000 0.0000 2.0178 Zr
0.0000 0.0000 11.8167 Zr
1.6797 0.9698 4.4804 Zr
1.6797 0.9698 9.3541 Zr
1.6797 0.9698 0.0000 Si
0.0000 0.0000 6.9172 Bi
0.0000 1.9395 3.2614 N
0.0000 1.9395 10.5730 N

=====

NdPO4 | OQMD | GGA-PBE | relaxed; SG = P2_1/c, No. 14; electronic total energy = -7.977 eV/atom; ρ = 5.5 Mg/m³
1.0
6.3866 0.0000 0.0000
0.0000 6.9385 0.0000
-4.8014 0.0000 6.5388
Nd P O
4 4 16
Cartesian
-0.1932 1.0912 1.8371 Nd
-2.5939 2.3780 5.1065 Nd
4.1791 4.5604 1.4323 Nd
1.7784 5.8473 4.7017 Nd
1.0352 4.5974 1.2869 P
-1.3655 5.8104 4.5563 P
2.9507 1.1281 1.9825 P
0.5500 2.3411 5.2519 P
-2.2284 4.6202 4.0370 O
0.1723 5.7875 0.7676 O
0.0153 3.4949 1.6452 O
-2.3854 6.9128 4.9146 O
2.0237 4.2054 0.1647 O
-0.3770 6.2024 3.4341 O
2.0247 1.4782 0.8074 O
-0.3760 1.9910 4.0768 O
1.9612 4.9475 2.4620 O
-0.4395 5.4602 5.7315 O
1.9622 0.7361 3.1048 O
-0.4385 2.7331 6.3742 O
3.9706 0.0257 1.6242 O
1.5699 3.4436 4.8936 O
1.4129 1.1510 5.7713 O
3.8136 2.3182 2.5019 O

=====

PIr2 | OQMD | GGA-PBE | relaxed; SG = Fd-3m, No. 227; electronic total energy = -5.734 eV/atom; ρ = 5.4 Mg/m³
1.0
0.0000 5.0313 5.0313
5.0313 0.0000 5.0313
5.0313 5.0313 0.0000
P Ir
2 4
Cartesian
1.2578 1.2578 1.2578 P
8.8048 8.8048 8.8048 P
0.0000 0.0000 0.0000 Ir
2.5157 2.5157 0.0000 Ir
2.5157 0.0000 2.5157 Ir
0.0000 2.5157 2.5157 Ir

=====

PrDyBi4Au2 | OQMD | GGA-PBE | relaxed; SG = P4mm, No. 99; electronic total energy = -4.567 eV/atom; ρ = 11.9 Mg/m³
1.0
4.6486 0.0000 0.0000
0.0000 4.6486 0.0000
0.0000 0.0000 9.9403
Pr Dy Bi Au
1 1 4 2
Cartesian
0.0000 0.0000 0.0000 Pr
2.3243 2.3243 5.3453 Dy
0.0000 0.0000 5.6234 Bi
0.0000 2.3243 2.7003 Bi
2.3243 0.0000 2.7003 Bi
2.3243 2.3243 9.4906 Bi
0.0000 2.3243 7.5185 Au
2.3243 0.0000 7.5185 Au

=====

GdYTe2F2 | OQMD | GGA-PBE | relaxed; SG = P4mm, No. 99; electronic total energy = -6.059 eV/atom; ρ = 7.4 Mg/m³
1.0
4.0392 0.0000 0.0000
0.0000 4.0392 0.0000
0.0000 0.0000 7.4072
Gd Y Te F
1 1 2 2
Cartesian
0.0000 0.0000 0.0000 Gd
2.0196 2.0196 2.9388 Y
0.0000 0.0000 4.1320 Te
2.0196 2.0196 6.1825 Te
0.0000 2.0196 1.4629 F
2.0196 0.0000 1.4629 F

=====

DyHoAsO | OQMD | GGA-PBE | relaxed; SG = Pmc2_1, No. 26; electronic total energy = -6.669 eV/atom; ρ = 7.5 Mg/m³
1.0
4.1544 0.0000 0.0000
0.0000 7.5717 0.0000
0.0000 0.0000 5.8908
Dy Ho As O
2 2 2 2
Cartesian
0.0000 1.6049 0.0000 Dy
0.0000 5.9668 2.9454 Dy
2.0772 2.9313 3.3667 Ho
2.0772 4.6405 0.4213 Ho
0.0000 1.2089 2.8844 As
0.0000 6.3628 5.8298 As
2.0772 2.4979 5.5324 O
2.0772 5.0738 2.5870 O